(1)
Compound: TiIn2Cl2
Source: Alexandria via LeMat-Bulk
Functional: PBE
Structure: relaxed

The value obtained for the density of states at the Fermi level is 4.604 states/eV per cell. The calculation puts the total energy at -33.2 eV/cell. As for the calculated volume: 26.4 Å³ per atom. For the energy relative to the elements, uncorrected, the calculation gives 0.0892 eV/atom.

```
data_TiIn2Cl2
_cell_length_a 4.3467
_cell_length_b 4.3467
_cell_length_c 13.9870
_cell_angle_alpha 90.00
_cell_angle_beta 90.00
_cell_angle_gamma 90.00
_symmetry_space_group_name_H-M 'I 4/m m m'
_symmetry_Int_Tables_number 139
_symmetry_space_group_name_Hall '-I 4 2'
loop_
_atom_site_label
_atom_site_type_symbol
_atom_site_fract_x
_atom_site_fract_y
_atom_site_fract_z
_atom_site_occupancy
Ti1 Ti 0.0000 0.0000 0.0000 1
In1 In 0.0000 0.0000 0.3866 1
Cl1 Cl 0.0000 0.5000 0.2500 1
```


(2)
Compound: Ti3InCl
Source: Alexandria via LeMat-Bulk
Functional: PBE
Structure: relaxed

The value obtained for the density of states at the Fermi level is 7.324 states/eV per cell. The calculation puts the total energy at -28.6 eV/cell. As for the calculated volume: 18.3 Å³ per atom. For the energy relative to the elements, uncorrected, the calculation gives -0.0696 eV/atom.

```
data_Ti3InCl
_cell_length_a 4.5101
_cell_length_b 4.5101
_cell_length_c 4.5101
_cell_angle_alpha 90.00
_cell_angle_beta 90.00
_cell_angle_gamma 90.00
_symmetry_space_group_name_H-M 'P m -3 m'
_symmetry_Int_Tables_number 221
_symmetry_space_group_name_Hall '-P 4 2 3'
loop_
_atom_site_label
_atom_site_type_symbol
_atom_site_fract_x
_atom_site_fract_y
_atom_site_fract_z
_atom_site_occupancy
Ti1 Ti 0.0000 0.0000 0.5000 1
In1 In 0.5000 0.5000 0.5000 1
Cl1 Cl 0.0000 0.0000 0.0000 1
```


(3)
Compound: TiIn2Cl4
Source: Alexandria via LeMat-Bulk
Functional: PBE
Structure: relaxed

The value obtained for the density of states at the Fermi level is 6.845 states/eV per cell. The calculation puts the total energy at -55.8 eV/cell. As for the calculated volume: 28.3 Å³ per atom. For the energy relative to the elements, uncorrected, the calculation gives -1.0184 eV/atom.

```
data_TiIn2Cl4
_cell_length_a 4.9607
_cell_length_b 4.9607
_cell_length_c 16.0758
_cell_angle_alpha 90.00
_cell_angle_beta 90.00
_cell_angle_gamma 90.00
_symmetry_space_group_name_H-M 'I 4/m m m'
_symmetry_Int_Tables_number 139
_symmetry_space_group_name_Hall '-I 4 2'
loop_
_atom_site_label
_atom_site_type_symbol
_atom_site_fract_x
_atom_site_fract_y
_atom_site_fract_z
_atom_site_occupancy
Ti1 Ti 0.0000 0.0000 0.0000 1
In1 In 0.0000 0.0000 0.3541 1
Cl1 Cl 0.0000 0.0000 0.1587 1
Cl2 Cl 0.0000 0.5000 0.0000 1
```


(4)
Compound: Ti2In5Cl12
Source: Alexandria via LeMat-Bulk
Functional: PBE
Structure: relaxed

The calculation puts the total energy at -147.1 eV/cell. As for the calculated volume: 32.8 Å³ per atom. For the energy relative to the elements, uncorrected, the calculation gives -1.1531 eV/atom.

```
data_Ti2In5Cl12
_cell_length_a 17.0966
_cell_length_b 7.2829
_cell_length_c 10.3044
_cell_angle_alpha 90.00
_cell_angle_beta 103.76
_cell_angle_gamma 90.00
_symmetry_space_group_name_H-M 'C 1 2/m 1'
_symmetry_Int_Tables_number 12
loop_
_symmetry_equiv_pos_as_xyz
'x,y,z'
'-x,-y,-z'
'-x,y,-z'
'x,-y,z'
'x+1/2,y+1/2,z'
'-x+1/2,-y+1/2,-z'
'-x+1/2,y+1/2,-z'
'x+1/2,-y+1/2,z'
loop_
_atom_site_label
_atom_site_type_symbol
_atom_site_fract_x
_atom_site_fract_y
_atom_site_fract_z
_atom_site_occupancy
Ti1 Ti 0.0000 0.2402 0.0000 1
In1 In 0.0000 0.0000 0.5000 1
In2 In 0.1870 0.5000 0.7919 1
In3 In 0.1997 0.5000 0.3634 1
Cl1 Cl 0.9996 0.0000 0.1678 1
Cl2 Cl 0.0009 0.5000 0.8407 1
Cl3 Cl 0.1378 0.2457 0.0558 1
Cl4 Cl 0.1532 0.2514 0.5743 1
```


(5)
Compound: Ti2InCl
Source: Alexandria via LeMat-Bulk
Functional: PBE
Structure: relaxed

The value obtained for the density of states at the Fermi level is 23.442 states/eV per cell. The calculation puts the total energy at -76.9 eV/cell. As for the calculated volume: 23.1 Å³ per atom. For the energy relative to the elements, uncorrected, the calculation gives 0.2856 eV/atom.

```
data_Ti2InCl
_cell_length_a 4.8339
_cell_length_b 4.8339
_cell_length_c 15.8345
_cell_angle_alpha 90.00
_cell_angle_beta 90.00
_cell_angle_gamma 90.00
_symmetry_space_group_name_H-M 'I -4 2 d'
_symmetry_Int_Tables_number 122
_symmetry_space_group_name_Hall 'I -4 2bw'
loop_
_atom_site_label
_atom_site_type_symbol
_atom_site_fract_x
_atom_site_fract_y
_atom_site_fract_z
_atom_site_occupancy
Ti1 Ti 0.1187 0.2500 0.1250 1
In1 In 0.0000 0.0000 0.5000 1
Cl1 Cl 0.0000 0.0000 0.0000 1
```


(6)
Compound: TiInCl2
Source: Alexandria via LeMat-Bulk
Functional: PBE
Structure: relaxed

The value obtained for the density of states at the Fermi level is 10.515 states/eV per cell. The calculation puts the total energy at -54.3 eV/cell. As for the calculated volume: 22.8 Å³ per atom. For the energy relative to the elements, uncorrected, the calculation gives -0.9417 eV/atom.

```
data_TiInCl2
_cell_length_a 3.2607
_cell_length_b 3.2607
_cell_length_c 29.7798
_cell_angle_alpha 90.00
_cell_angle_beta 90.00
_cell_angle_gamma 120.00
_symmetry_space_group_name_H-M 'R -3 m'
_symmetry_Int_Tables_number 166
_symmetry_space_group_name_Hall '-R 3 2"'
loop_
_atom_site_label
_atom_site_type_symbol
_atom_site_fract_x
_atom_site_fract_y
_atom_site_fract_z
_atom_site_occupancy
Ti1 Ti 0.0000 0.0000 0.0000 1
In1 In 0.0000 0.0000 0.5000 1
Cl1 Cl 0.0000 0.0000 0.3878 1
```


(7)
Compound: Ti2InCl8
Source: Alexandria via LeMat-Bulk
Functional: PBE
Structure: relaxed

The value obtained for the density of states at the Fermi level is 17.563 states/eV per cell. The calculation puts the total energy at -97.7 eV/cell. As for the calculated volume: 38.1 Å³ per atom. For the energy relative to the elements, uncorrected, the calculation gives -1.4128 eV/atom.

```
data_Ti2InCl8
_cell_length_a 13.6953
_cell_length_b 8.2832
_cell_length_c 7.6190
_cell_angle_alpha 90.00
_cell_angle_beta 104.01
_cell_angle_gamma 90.00
_symmetry_space_group_name_H-M 'C 1 2/m 1'
_symmetry_Int_Tables_number 12
loop_
_symmetry_equiv_pos_as_xyz
'x,y,z'
'-x,-y,-z'
'-x,y,-z'
'x,-y,z'
'x+1/2,y+1/2,z'
'-x+1/2,-y+1/2,-z'
'-x+1/2,y+1/2,-z'
'x+1/2,-y+1/2,z'
loop_
_atom_site_label
_atom_site_type_symbol
_atom_site_fract_x
_atom_site_fract_y
_atom_site_fract_z
_atom_site_occupancy
Ti1 Ti 0.2017 0.0000 0.1801 1
In1 In 0.0000 0.0000 0.5000 1
Cl1 Cl 0.1265 0.2103 0.2768 1
Cl2 Cl 0.1347 0.5000 0.6975 1
Cl3 Cl 0.1734 0.0000 0.8777 1
```


(8)
Compound: TiInCl4
Source: Alexandria via LeMat-Bulk
Functional: PBE
Structure: relaxed

The value obtained for the density of states at the Fermi level is 4.288 states/eV per cell. The calculation puts the total energy at -103.9 eV/cell. As for the calculated volume: 31.3 Å³ per atom. For the energy relative to the elements, uncorrected, the calculation gives -1.3244 eV/atom.

```
data_TiInCl4
_cell_length_a 9.6276
_cell_length_b 13.8458
_cell_length_c 6.0955
_cell_angle_alpha 90.00
_cell_angle_beta 112.33
_cell_angle_gamma 90.00
_symmetry_space_group_name_H-M 'C 1 2/c 1'
_symmetry_Int_Tables_number 15
loop_
_symmetry_equiv_pos_as_xyz
'x,y,z'
'-x,-y,-z'
'-x,y,-z+1/2'
'x,-y,z+1/2'
'x+1/2,y+1/2,z'
'-x+1/2,-y+1/2,-z'
'-x+1/2,y+1/2,-z+1/2'
'x+1/2,-y+1/2,z+1/2'
loop_
_atom_site_label
_atom_site_type_symbol
_atom_site_fract_x
_atom_site_fract_y
_atom_site_fract_z
_atom_site_occupancy
Ti1 Ti 0.0000 0.0592 0.2500 1
In1 In 0.0000 0.2993 0.7500 1
Cl1 Cl 0.1565 0.1836 0.1935 1
Cl2 Cl 0.1592 0.0632 0.6772 1
```


(9)
Compound: Ti3In2Cl10
Source: Alexandria via LeMat-Bulk
Functional: PBE
Structure: relaxed

The value obtained for the density of states at the Fermi level is 33.981 states/eV per cell. The calculation puts the total energy at -270.1 eV/cell. As for the calculated volume: 25.4 Å³ per atom. For the energy relative to the elements, uncorrected, the calculation gives -1.3268 eV/atom.

```
data_Ti3In2Cl10
_cell_length_a 23.3584
_cell_length_b 7.1554
_cell_length_c 9.8271
_cell_angle_alpha 90.00
_cell_angle_beta 111.95
_cell_angle_gamma 90.00
_symmetry_space_group_name_H-M 'C 1 2/m 1'
_symmetry_Int_Tables_number 12
loop_
_symmetry_equiv_pos_as_xyz
'x,y,z'
'-x,-y,-z'
'-x,y,-z'
'x,-y,z'
'x+1/2,y+1/2,z'
'-x+1/2,-y+1/2,-z'
'-x+1/2,y+1/2,-z'
'x+1/2,-y+1/2,z'
loop_
_atom_site_label
_atom_site_type_symbol
_atom_site_fract_x
_atom_site_fract_y
_atom_site_fract_z
_atom_site_occupancy
Ti1 Ti 0.0000 0.2407 0.0000 1
Ti2 Ti 0.0698 0.0000 0.4856 1
Ti3 Ti 0.1788 0.0000 0.0213 1
In1 In 0.1349 0.5000 0.7087 1
In2 In 0.2452 0.5000 0.3599 1
Cl1 Cl 0.0000 0.2456 0.5000 1
Cl2 Cl 0.0176 0.5000 0.1746 1
Cl3 Cl 0.0189 0.0000 0.1985 1
Cl4 Cl 0.1098 0.2421 0.0393 1
Cl5 Cl 0.1258 0.0000 0.7509 1
Cl6 Cl 0.1410 0.2376 0.4684 1
Cl7 Cl 0.2340 0.0000 0.2804 1
Cl8 Cl 0.2500 0.2500 0.0000 1
```


(10)
Compound: TiInCl2
Source: Alexandria via LeMat-Bulk
Functional: PBE
Structure: relaxed

The value obtained for the density of states at the Fermi level is 15.558 states/eV per cell. The calculation puts the total energy at -65.4 eV/cell. As for the calculated volume: 31.8 Å³ per atom. For the energy relative to the elements, uncorrected, the calculation gives -0.5059 eV/atom.

```
data_TiInCl2
_cell_length_a 6.7608
_cell_length_b 6.7608
_cell_length_c 11.1477
_cell_angle_alpha 90.00
_cell_angle_beta 90.00
_cell_angle_gamma 90.00
_symmetry_space_group_name_H-M 'I -4 2 d'
_symmetry_Int_Tables_number 122
_symmetry_space_group_name_Hall 'I -4 2bw'
loop_
_atom_site_label
_atom_site_type_symbol
_atom_site_fract_x
_atom_site_fract_y
_atom_site_fract_z
_atom_site_occupancy
Ti1 Ti 0.0000 0.0000 0.0000 1
In1 In 0.0000 0.0000 0.5000 1
Cl1 Cl 0.1438 0.2500 0.1250 1
```